SrMnP3: optimized geometry, GGA-PBE.

POSCAR file:
```
SrMnP3
1.0
-3.9889 1.8721 -3.0346
2.0182 -2.5684 -4.2373
-2.9395 -4.3039 1.2087
P Sr Mn
3 1 1
Direct
0.0000 0.5000 0.0000
0.0000 0.0000 0.5000
0.5000 0.0000 0.0000
0.0000 0.0000 0.0000
0.5000 0.5000 0.5000
```

Summary:
* excess energy over the best structure of this formula in the dataset: 1705 meV per atom
* N(E_F): 3.6 states/eV per cell
* formation energy: 1.50 eV/atom
* uncorrected energy: -3.91 eV per atom
* M_tot: 4.7 μB/f.u.